VASP calculation (PBE) on a relaxed Rb3GeO4 crystal.

Unit cell a=6.332 b=6.332 c=6.332 alpha=118.68 beta=93.88 gamma=116.90
Fractional positions:
Rb1 0.000 0.000 0.000
Rb2 0.272 0.510 0.762
Rb3 0.748 0.510 0.238
Ge1 0.551 0.051 0.500
O1 0.232 0.905 0.327
O2 0.577 0.905 0.673
O3 0.704 0.431 0.726
O4 0.704 0.978 0.274

Properties
E above lowest polymorph in meV/atom: 41
DFT total energy in eV/atom: -4.862